[1]
# VTe4Pt, relaxed, DFT PBE
data_VTe4Pt
_chemical_formula_sum 'V1 Te4 Pt1'
_cell_length_a 5.941
_cell_length_b 3.915
_cell_length_c 6.894
_cell_angle_alpha 90.00
_cell_angle_beta 90.55
_cell_angle_gamma 90.00
_symmetry_space_group_name_H-M 'P 1 2/m 1'
_symmetry_Int_Tables_number 10
loop_
_symmetry_equiv_pos_as_xyz
'x,y,z'
'-x,-y,-z'
'-x,y,-z'
'x,-y,z'
loop_
_atom_site_label
_atom_site_fract_x
_atom_site_fract_y
_atom_site_fract_z
V1 0.000 0.000 0.000
Te1 0.246 0.000 0.334
Te2 0.259 0.500 0.834
Pt1 0.000 0.500 0.500
# Total moment = 1.58 μB/f.u.
# Raw formation energy = -0.295 eV/atom
# E = -29.5 eV for the cell shown

***

[2]
# VZnTe2Pt, relaxed, DFT PBE
data_VZnTe2Pt
_chemical_formula_sum 'V1 Zn1 Te2 Pt1'
_cell_length_a 5.080
_cell_length_b 5.080
_cell_length_c 4.678
_cell_angle_alpha 90.00
_cell_angle_beta 90.00
_cell_angle_gamma 90.00
_symmetry_space_group_name_H-M 'P 4/m m m'
_symmetry_Int_Tables_number 123
_symmetry_space_group_name_Hall '-P 4 2'
loop_
_atom_site_label
_atom_site_fract_x
_atom_site_fract_y
_atom_site_fract_z
V1 0.000 0.000 0.000
Zn1 0.000 0.000 0.500
Te1 0.000 0.500 0.500
Pt1 0.500 0.500 0.000
# Total moment = 2.71 μB/f.u.
# Raw formation energy = 1.007 eV/atom
# E = -17.7 eV for the cell shown

***

[3]
# TePtW2, relaxed, DFT PBE
data_TePtW2
_chemical_formula_sum 'Te2 Pt2 W4'
_cell_length_a 9.442
_cell_length_b 3.220
_cell_length_c 4.852
_cell_angle_alpha 90.00
_cell_angle_beta 101.90
_cell_angle_gamma 90.00
_symmetry_space_group_name_H-M 'C 1 m 1'
_symmetry_Int_Tables_number 8
loop_
_symmetry_equiv_pos_as_xyz
'x,y,z'
'x,-y,z'
'x+1/2,y+1/2,z'
'x+1/2,-y+1/2,z'
loop_
_atom_site_label
_atom_site_fract_x
_atom_site_fract_y
_atom_site_fract_z
Te1 0.000 0.000 0.000
Pt1 0.225 0.000 0.724
W1 0.262 0.500 0.285
W2 0.476 0.000 0.476
# Total moment = 0.00 μB/f.u.
# Raw formation energy = 0.455 eV/atom
# E = -66.5 eV for the cell shown

***

[4]
# TePtW2, relaxed, DFT PBE
data_TePtW2
_chemical_formula_sum 'Te1 Pt1 W2'
_cell_length_a 3.165
_cell_length_b 3.165
_cell_length_c 6.856
_cell_angle_alpha 90.00
_cell_angle_beta 90.00
_cell_angle_gamma 90.00
_symmetry_space_group_name_H-M 'P 4/m m m'
_symmetry_Int_Tables_number 123
_symmetry_space_group_name_Hall '-P 4 2'
loop_
_atom_site_label
_atom_site_fract_x
_atom_site_fract_y
_atom_site_fract_z
Te1 0.000 0.000 0.000
Pt1 0.000 0.000 0.500
W1 0.500 0.500 0.254
# Total moment = 0.00 μB/f.u.
# Raw formation energy = 0.491 eV/atom
# E = -33.1 eV for the cell shown

***

[5]
# TePtW2, relaxed, DFT PBE
data_TePtW2
_chemical_formula_sum 'Te1 Pt1 W2'
_cell_length_a 2.849
_cell_length_b 2.849
_cell_length_c 8.843
_cell_angle_alpha 90.00
_cell_angle_beta 90.00
_cell_angle_gamma 90.00
_symmetry_space_group_name_H-M 'P 4/m m m'
_symmetry_Int_Tables_number 123
_symmetry_space_group_name_Hall '-P 4 2'
loop_
_atom_site_label
_atom_site_fract_x
_atom_site_fract_y
_atom_site_fract_z
Te1 0.000 0.000 0.000
Pt1 0.000 0.000 0.500
W1 0.500 0.500 0.275
# Total moment = 0.00 μB/f.u.
# Raw formation energy = 0.760 eV/atom
# E = -32.0 eV for the cell shown

***

[6]
# TePtW2, relaxed, DFT PBE
data_TePtW2
_chemical_formula_sum 'Te1 Pt1 W2'
_cell_length_a 3.916
_cell_length_b 3.916
_cell_length_c 4.593
_cell_angle_alpha 90.00
_cell_angle_beta 90.00
_cell_angle_gamma 90.00
_symmetry_space_group_name_H-M 'P 4/m m m'
_symmetry_Int_Tables_number 123
_symmetry_space_group_name_Hall '-P 4 2'
loop_
_atom_site_label
_atom_site_fract_x
_atom_site_fract_y
_atom_site_fract_z
Te1 0.000 0.000 0.000
Pt1 0.500 0.500 0.000
W1 0.000 0.500 0.500
# Total moment = 0.00 μB/f.u.
# Raw formation energy = 0.665 eV/atom
# E = -32.4 eV for the cell shown

***

[7]
# TePtW2, relaxed, DFT PBE
data_TePtW2
_chemical_formula_sum 'Te2 Pt2 W4'
_cell_length_a 4.105
_cell_length_b 4.105
_cell_length_c 8.193
_cell_angle_alpha 90.00
_cell_angle_beta 90.00
_cell_angle_gamma 90.00
_symmetry_space_group_name_H-M 'I -4 m 2'
_symmetry_Int_Tables_number 119
_symmetry_space_group_name_Hall 'I -4 -2'
loop_
_atom_site_label
_atom_site_fract_x
_atom_site_fract_y
_atom_site_fract_z
Te1 0.000 0.000 0.000
Pt1 0.000 0.500 0.250
W1 0.000 0.000 0.500
W2 0.000 0.500 0.750
# Total moment = 0.00 μB/f.u.
# Raw formation energy = 0.599 eV/atom
# E = -65.4 eV for the cell shown

***

[8]
# TePtW, relaxed, DFT PBE
data_TePtW
_chemical_formula_sum 'Te2 Pt2 W2'
_cell_length_a 3.095
_cell_length_b 3.095
_cell_length_c 12.417
_cell_angle_alpha 90.00
_cell_angle_beta 90.00
_cell_angle_gamma 90.00
_symmetry_space_group_name_H-M 'I 4 m m'
_symmetry_Int_Tables_number 107
_symmetry_space_group_name_Hall 'I 4 -2'
loop_
_atom_site_label
_atom_site_fract_x
_atom_site_fract_y
_atom_site_fract_z
Te1 0.000 0.000 0.000
Pt1 0.000 0.000 0.722
W1 0.000 0.000 0.357
# Total moment = 0.00 μB/f.u.
# Raw formation energy = 0.363 eV/atom
# E = -42.1 eV for the cell shown

***

[9]
# TePtW, relaxed, DFT PBE
data_TePtW
_chemical_formula_sum 'Te4 Pt4 W4'
_cell_length_a 6.240
_cell_length_b 6.240
_cell_length_c 6.240
_cell_angle_alpha 90.00
_cell_angle_beta 90.00
_cell_angle_gamma 90.00
_symmetry_space_group_name_H-M 'F -4 3 m'
_symmetry_Int_Tables_number 216
_symmetry_space_group_name_Hall 'F -4 2 3'
loop_
_atom_site_label
_atom_site_fract_x
_atom_site_fract_y
_atom_site_fract_z
Te1 0.000 0.000 0.000
Pt1 0.250 0.250 0.750
W1 0.250 0.250 0.250
# Total moment = 0.00 μB/f.u.
# Raw formation energy = 0.713 eV/atom
# E = -80.0 eV for the cell shown

***

[10]
# TePtW3, relaxed, DFT PBE
data_TePtW3
_chemical_formula_sum 'Te1 Pt1 W3'
_cell_length_a 4.843
_cell_length_b 4.843
_cell_length_c 4.843
_cell_angle_alpha 90.00
_cell_angle_beta 90.00
_cell_angle_gamma 90.00
_symmetry_space_group_name_H-M 'P m -3 m'
_symmetry_Int_Tables_number 221
_symmetry_space_group_name_Hall '-P 4 2 3'
loop_
_atom_site_label
_atom_site_fract_x
_atom_site_fract_y
_atom_site_fract_z
Te1 0.000 0.000 0.000
Pt1 0.500 0.500 0.500
W1 0.000 0.500 0.500
# Total moment = 0.00 μB/f.u.
# Raw formation energy = 2.038 eV/atom
# E = -37.9 eV for the cell shown

***

[11]
# TePtW2, relaxed, DFT PBE
data_TePtW2
_chemical_formula_sum 'Te3 Pt3 W6'
_cell_length_a 3.0147
_cell_length_b 3.0147
_cell_length_c 26.4710
_cell_angle_alpha 90.00
_cell_angle_beta 90.00
_cell_angle_gamma 120.00
_symmetry_space_group_name_H-M 'R -3 m'
_symmetry_Int_Tables_number 166
_symmetry_space_group_name_Hall '-R 3 2"'
loop_
_atom_site_label
_atom_site_fract_x
_atom_site_fract_y
_atom_site_fract_z
Te1 0.0000 0.0000 0.0000
Pt1 0.0000 0.0000 0.5000
W1 0.0000 0.0000 0.2497
# Total moment = 0.00 μB/f.u.
# Raw formation energy = 0.534 eV/atom
# E = -98.9 eV for the cell shown

***

[12]
# TePt4W, relaxed, DFT PBE
data_TePt4W
_chemical_formula_sum 'Te4 Pt16 W4'
_cell_length_a 7.507
_cell_length_b 7.507
_cell_length_c 7.507
_cell_angle_alpha 90.00
_cell_angle_beta 90.00
_cell_angle_gamma 90.00
_symmetry_space_group_name_H-M 'F -4 3 m'
_symmetry_Int_Tables_number 216
_symmetry_space_group_name_Hall 'F -4 2 3'
loop_
_atom_site_label
_atom_site_fract_x
_atom_site_fract_y
_atom_site_fract_z
Te1 0.000 0.000 0.000
Pt1 0.124 0.124 0.376
W1 0.250 0.250 0.750
# Total moment = 0.00 μB/f.u.
# Raw formation energy = 0.425 eV/atom
# E = -150.8 eV for the cell shown

***

[13]
# TePt3W, relaxed, DFT PBE
data_TePt3W
_chemical_formula_sum 'Te1 Pt3 W1'
_cell_length_a 4.892
_cell_length_b 4.892
_cell_length_c 4.892
_cell_angle_alpha 90.00
_cell_angle_beta 90.00
_cell_angle_gamma 90.00
_symmetry_space_group_name_H-M 'P m -3 m'
_symmetry_Int_Tables_number 221
_symmetry_space_group_name_Hall '-P 4 2 3'
loop_
_atom_site_label
_atom_site_fract_x
_atom_site_fract_y
_atom_site_fract_z
Te1 0.000 0.000 0.000
Pt1 0.000 0.000 0.500
W1 0.500 0.500 0.500
# Total moment = 3.79 μB/f.u.
# Raw formation energy = 1.520 eV/atom
# E = -26.6 eV for the cell shown

***

[14]
# TePtW2, relaxed, DFT PBE
data_TePtW2
_chemical_formula_sum 'Te4 Pt4 W8'
_cell_length_a 5.939
_cell_length_b 5.939
_cell_length_c 11.661
_cell_angle_alpha 90.00
_cell_angle_beta 90.00
_cell_angle_gamma 90.00
_symmetry_space_group_name_H-M 'I -4 2 d'
_symmetry_Int_Tables_number 122
_symmetry_space_group_name_Hall 'I -4 2bw'
loop_
_atom_site_label
_atom_site_fract_x
_atom_site_fract_y
_atom_site_fract_z
Te1 0.000 0.000 0.000
Pt1 0.000 0.000 0.500
W1 0.216 0.250 0.625
# Total moment = 0.00 μB/f.u.
# Raw formation energy = 1.180 eV/atom
# E = -121.5 eV for the cell shown

***

[15]
# TePtW2, relaxed, DFT PBE
data_TePtW2
_chemical_formula_sum 'Te4 Pt4 W8'
_cell_length_a 6.583
_cell_length_b 6.583
_cell_length_c 6.583
_cell_angle_alpha 90.00
_cell_angle_beta 90.00
_cell_angle_gamma 90.00
_symmetry_space_group_name_H-M 'F -4 3 m'
_symmetry_Int_Tables_number 216
_symmetry_space_group_name_Hall 'F -4 2 3'
loop_
_atom_site_label
_atom_site_fract_x
_atom_site_fract_y
_atom_site_fract_z
Te1 0.000 0.000 0.000
Pt1 0.250 0.250 0.750
W1 0.000 0.000 0.500
W2 0.250 0.250 0.250
# Total moment = 0.76 μB/f.u.
# Raw formation energy = 0.759 eV/atom
# E = -128.2 eV for the cell shown

***

[16]
# TePtW, relaxed, DFT PBE
data_TePtW
_chemical_formula_sum 'Te4 Pt4 W4'
_cell_length_a 12.969
_cell_length_b 3.258
_cell_length_c 5.642
_cell_angle_alpha 90.00
_cell_angle_beta 90.00
_cell_angle_gamma 90.00
_symmetry_space_group_name_H-M 'A m m 2'
_symmetry_Int_Tables_number 38
loop_
_symmetry_equiv_pos_as_xyz
'x,y,z'
'-x,-y,z'
'-x,y,z'
'x,-y,z'
'x,y+1/2,z+1/2'
'-x,-y+1/2,z+1/2'
'-x,y+1/2,z+1/2'
'x,-y+1/2,z+1/2'
loop_
_atom_site_label
_atom_site_fract_x
_atom_site_fract_y
_atom_site_fract_z
Te1 0.198 0.000 0.000
Pt1 0.000 0.000 0.997
Pt2 0.500 0.000 0.000
W1 0.345 0.000 0.667
# Total moment = 0.00 μB/f.u.
# Raw formation energy = 0.355 eV/atom
# E = -84.3 eV for the cell shown

***

[17]
# TePtW2, relaxed, DFT PBE
data_TePtW2
_chemical_formula_sum 'Te1 Pt1 W2'
_cell_length_a 2.962
_cell_length_b 4.197
_cell_length_c 5.964
_cell_angle_alpha 90.00
_cell_angle_beta 102.74
_cell_angle_gamma 90.00
_symmetry_space_group_name_H-M 'P 1 2/m 1'
_symmetry_Int_Tables_number 10
loop_
_symmetry_equiv_pos_as_xyz
'x,y,z'
'-x,-y,-z'
'-x,y,-z'
'x,-y,z'
loop_
_atom_site_label
_atom_site_fract_x
_atom_site_fract_y
_atom_site_fract_z
Te1 0.000 0.000 0.000
Pt1 0.000 0.000 0.500
W1 0.384 0.500 0.283
# Total moment = 0.00 μB/f.u.
# Raw formation energy = 0.578 eV/atom
# E = -32.8 eV for the cell shown

***

[18]
# TePtW2, relaxed, DFT PBE
data_TePtW2
_chemical_formula_sum 'Te1 Pt1 W2'
_cell_length_a 4.740
_cell_length_b 4.740
_cell_length_c 3.038
_cell_angle_alpha 90.00
_cell_angle_beta 90.00
_cell_angle_gamma 90.00
_symmetry_space_group_name_H-M 'P 4/m m m'
_symmetry_Int_Tables_number 123
_symmetry_space_group_name_Hall '-P 4 2'
loop_
_atom_site_label
_atom_site_fract_x
_atom_site_fract_y
_atom_site_fract_z
Te1 0.000 0.000 0.000
Pt1 0.500 0.500 0.000
W1 0.000 0.500 0.500
# Total moment = 0.00 μB/f.u.
# Raw formation energy = 0.454 eV/atom
# E = -33.3 eV for the cell shown

***

[19]
# TePtW2, relaxed, DFT PBE
data_TePtW2
_chemical_formula_sum 'Te2 Pt2 W4'
_cell_length_a 5.509
_cell_length_b 8.764
_cell_length_c 2.978
_cell_angle_alpha 90.00
_cell_angle_beta 102.77
_cell_angle_gamma 90.00
_symmetry_space_group_name_H-M 'C 1 2/m 1'
_symmetry_Int_Tables_number 12
loop_
_symmetry_equiv_pos_as_xyz
'x,y,z'
'-x,-y,-z'
'-x,y,-z'
'x,-y,z'
'x+1/2,y+1/2,z'
'-x+1/2,-y+1/2,-z'
'-x+1/2,y+1/2,-z'
'x+1/2,-y+1/2,z'
loop_
_atom_site_label
_atom_site_fract_x
_atom_site_fract_y
_atom_site_fract_z
Te1 0.000 0.000 0.000
Pt1 0.000 0.500 0.000
W1 0.250 0.250 0.500
# Total moment = 0.00 μB/f.u.
# Raw formation energy = 0.636 eV/atom
# E = -65.1 eV for the cell shown

***

[20]
# TePtW, relaxed, DFT PBE
data_TePtW
_chemical_formula_sum 'Te1 Pt1 W1'
_cell_length_a 4.6602
_cell_length_b 4.6602
_cell_length_c 2.9460
_cell_angle_alpha 90.00
_cell_angle_beta 90.00
_cell_angle_gamma 120.00
_symmetry_space_group_name_H-M 'P 3 m 1'
_symmetry_Int_Tables_number 156
loop_
_symmetry_equiv_pos_as_xyz
'x,y,z'
'-y,x-y,z'
'-x+y,-x,z'
'-y,-x,z'
'-x+y,y,z'
'x,x-y,z'
loop_
_atom_site_label
_atom_site_fract_x
_atom_site_fract_y
_atom_site_fract_z
Te1 0.0000 0.0000 0.0000
Pt1 0.3333 0.6667 0.5074
W1 0.6667 0.3333 0.0088
# Total moment = 0.00 μB/f.u.
# Raw formation energy = 0.618 eV/atom
# E = -20.3 eV for the cell shown